Material: PmSmPuSc
Method: DFT, GGA-PBE
State: relaxed

Cell and atoms, written as POSCAR:
```
PmSmPuSc
1.0
5.533 0.000 0.000
2.767 4.792 0.000
2.767 1.597 4.518
Sc Pu Sm Pm
1 1 1 1
Cartesian
0.000 0.000 0.000
5.533 3.195 2.259
2.767 1.597 1.129
8.300 4.792 3.388
```



Material: Dy6Sb3Pb
Method: DFT, GGA-PBE
State: relaxed

## Properties
The value obtained for the formation energy (no corrections) is -15.30 kcal/mol of atoms.

Cell and atoms, written as POSCAR:
```
Dy6Sb3Pb
1.0
-1.128 5.133 5.486
5.947 -4.541 5.472
5.033 6.174 -4.742
Sb Dy Pb
6 12 2
Cartesian
8.511 2.757 4.251
1.560 1.723 3.789
4.619 4.244 5.805
0.816 6.400 4.520
5.033 3.435 1.387
7.767 7.433 4.982
4.185 10.006 -0.557
2.669 1.960 6.641
3.470 0.740 1.593
5.656 -3.188 6.829
5.589 -1.294 3.596
7.269 1.304 1.845
7.021 2.607 6.930
2.811 4.428 3.266
7.176 4.840 -0.388
4.562 6.699 1.166
6.609 4.993 3.519
2.823 4.193 -0.677
5.190 4.308 -2.936
5.220 -0.082 6.438
```



Results for V: 29.945 31.336 (in Å³/atom, following the order of the records).
Results for electronic total energy: -7.32 -5.03 (in eV per atom, following the order of the records).
Results for DOS at the Fermi energy: 12.60 8.50 (in states/eV/f.u., following the order of the records).